Density functional theory data (GGA-PBE) for a relaxed structure of La3SiPb2.

Results
Symmetry = Pnma
Magnetization = 0.0 μB per cell
E_form (uncorrected) = -53.5 kJ/mol of atoms

Cell lengths 4.5459, 12.5927, 13.2309 Å; angles 90.00, 90.00, 90.00 degrees
Last column: nearest neighbours and their distance in Å.
Positions (direct):
La: 0.2500 0.3826 0.0589  5 Pb 3.28-3.64, 1 Si 3.29
La: 0.7500 0.6174 0.9411  5 Pb 3.28-3.64, 1 Si 3.29
La: 0.7500 0.8826 0.4411  5 Pb 3.28-3.64, 1 Si 3.29
La: 0.2500 0.1174 0.5589  5 Pb 3.28-3.64, 1 Si 3.29
La: 0.2500 0.7152 0.2396  2 Si 3.09, 1 Pb 3.28
La: 0.7500 0.2848 0.7604  2 Si 3.09, 1 Pb 3.28
La: 0.7500 0.2152 0.2604  2 Si 3.09, 1 Pb 3.28
La: 0.2500 0.7848 0.7396  2 Si 3.09, 1 Pb 3.28
La: 0.2500 0.4549 0.3884  3 Si 3.17-3.30, 5 Pb 3.36-3.51
La: 0.7500 0.5451 0.6116  3 Si 3.17-3.30, 5 Pb 3.36-3.51
La: 0.7500 0.9549 0.1116  3 Si 3.17-3.30, 5 Pb 3.36-3.51
La: 0.2500 0.0451 0.8884  3 Si 3.17-3.30, 5 Pb 3.36-3.51
Si: 0.2500 0.1302 0.1239  3 Pb 2.88-2.99, 4 La 3.09-3.17
Si: 0.7500 0.8698 0.8761  3 Pb 2.88-2.99, 4 La 3.09-3.17
Si: 0.7500 0.6302 0.3761  3 Pb 2.88-2.99, 4 La 3.09-3.17
Si: 0.2500 0.3698 0.6239  3 Pb 2.88-2.99, 4 La 3.09-3.17
Pb: 0.2500 0.7059 0.5035  2 Si 2.99, 3 La 3.28-3.29
Pb: 0.7500 0.2941 0.4965  2 Si 2.99, 3 La 3.28-3.29
Pb: 0.7500 0.2059 0.9965  2 Si 2.99, 3 La 3.28-3.29
Pb: 0.2500 0.7941 0.0035  2 Si 2.99, 3 La 3.28-3.29
Pb: 0.2500 0.0043 0.3056  1 Si 2.88
Pb: 0.7500 0.9957 0.6944  1 Si 2.88
Pb: 0.7500 0.5043 0.1944  1 Si 2.88
Pb: 0.2500 0.4957 0.8056  1 Si 2.88